(1)
Computed, not measured: crystalline LiNdSnBr6 at its relaxed geometry at the PBE level of DFT.

a b c (Å): 7.203 7.203 13.206
angles (deg): 90.00 90.00 120.00
Fractional coordinates of all 18 atoms:
Li  0.333  0.667  0.250
Li  0.667  0.333  0.750
Nd  0.333  0.667  0.750
Nd  0.667  0.333  0.250
Sn  0.000  0.000  0.000
Sn  0.000  0.000  0.500
Br  0.013  0.354  0.128
Br  0.013  0.659  0.372
Br  0.341  0.354  0.372
Br  0.341  0.987  0.128
Br  0.354  0.013  0.628
Br  0.354  0.341  0.872
Br  0.646  0.659  0.128
Br  0.646  0.987  0.372
Br  0.659  0.013  0.872
Br  0.659  0.646  0.628
Br  0.987  0.341  0.628
Br  0.987  0.646  0.872

calculated density = 4.194 g cm⁻³
volume = 593.3 Å³/cell
energy relative to the elements, uncorrected = -1402 meV per atom
space group = No. 163
N(E_F) = 0.000 states/eV per atom



(2)
Computed, not measured: crystalline LiNdTlBr5 at its relaxed geometry at the PBE level of DFT.

a b c (Å): 7.971 7.971 10.739
angles (deg): 103.40 103.40 107.97
Fractional coordinates of all 16 atoms:
Li  0.191  0.809  0.750
Li  0.809  0.191  0.250
Nd  0.500  0.500  0.000
Nd  0.500  0.500  0.500
Tl  0.137  0.863  0.250
Tl  0.863  0.137  0.750
Br  0.115  0.249  0.433
Br  0.180  0.577  0.878
Br  0.249  0.115  0.933
Br  0.410  0.590  0.250
Br  0.423  0.820  0.622
Br  0.577  0.180  0.378
Br  0.590  0.410  0.750
Br  0.751  0.885  0.067
Br  0.820  0.423  0.122
Br  0.885  0.751  0.567

calculated density = 4.204 g cm⁻³
volume = 596.5 Å³/cell
energy relative to the elements, uncorrected = -1529 meV per atom
space group = No. 15
N(E_F) = 0.000 states/eV per atom



(3)
Computed, not measured: crystalline Li2NiBr at its relaxed geometry at the PBE level of DFT.

a b c (Å): 3.325 3.332 5.542
angles (deg): 90.00 90.09 90.00
Fractional coordinates of all 4 atoms:
Li  0.000  0.000  0.236
Li  0.000  0.000  0.764
Ni  0.500  0.500  0.000
Br  0.500  0.500  0.500

calculated density = 4.123 g cm⁻³
distance to the lowest polymorph of the same formula = 0 meV/atom
volume = 61.4 Å³/cell
energy relative to the elements, uncorrected = -304 meV per atom
space group = No. 10
N(E_F) = 0.185 states/eV per atom



(4)
Computed, not measured: crystalline LiNi2Br6 at its relaxed geometry at the PBE level of DFT.

a b c (Å): 7.014 7.014 10.710
angles (deg): 117.08 117.08 30.76
Fractional coordinates of all 9 atoms:
Li  0.000  0.000  0.000
Ni  0.337  0.337  0.666
Ni  0.663  0.663  0.334
Br  0.021  0.021  0.264
Br  0.313  0.313  0.423
Br  0.338  0.338  0.892
Br  0.662  0.662  0.108
Br  0.687  0.687  0.577
Br  0.979  0.979  0.736

calculated density = 4.220 g cm⁻³
volume = 237.6 Å³/cell
energy relative to the elements, uncorrected = -545 meV per atom
space group = No. 12
N(E_F) = 0.618 states/eV per atom



(5)
Computed, not measured: crystalline Li2NiBr at its relaxed geometry at the PBE level of DFT.

a b c (Å): 4.305 4.305 3.361
angles (deg): 90.00 90.00 102.54
Fractional coordinates of all 4 atoms:
Li  0.000  0.500  0.000
Li  0.500  0.000  0.000
Ni  0.000  0.000  0.500
Br  0.500  0.500  0.500

calculated density = 4.164 g cm⁻³
distance to the lowest polymorph of the same formula = 96 meV/atom
volume = 60.8 Å³/cell
energy relative to the elements, uncorrected = -208 meV per atom
space group = No. 65
N(E_F) = 0.272 states/eV per atom



(6)
Computed, not measured: crystalline Li2NiBr4 at its relaxed geometry at the PBE level of DFT.

a b c (Å): 7.548 7.548 7.548
angles (deg): 140.74 140.74 56.74
Fractional coordinates of all 7 atoms:
Li  0.128  0.128  0.000
Li  0.872  0.872  0.000
Ni  0.500  0.500  0.000
Br  0.000  0.500  0.500
Br  0.318  0.318  0.000
Br  0.500  0.000  0.500
Br  0.682  0.682  0.000

calculated density = 3.813 g cm⁻³
volume = 170.8 Å³/cell
energy relative to the elements, uncorrected = -805 meV per atom
space group = No. 139
N(E_F) = 0.182 states/eV per atom



(7)
Computed, not measured: crystalline Li2NiBr at its relaxed geometry at the PBE level of DFT.

a b c (Å): 3.460 3.460 5.787
angles (deg): 90.00 90.00 90.00
Fractional coordinates of all 4 atoms:
Li  0.000  0.000  0.000
Li  0.500  0.500  0.295
Ni  0.000  0.000  0.460
Br  0.500  0.500  0.835

calculated density = 3.654 g cm⁻³
distance to the lowest polymorph of the same formula = 112 meV/atom
volume = 69.3 Å³/cell
energy relative to the elements, uncorrected = -192 meV per atom
space group = No. 99
N(E_F) = 1.337 states/eV per atom



(8)
Computed, not measured: crystalline Li2NiBr at its relaxed geometry at the PBE level of DFT.

a b c (Å): 5.661 5.661 5.661
angles (deg): 103.65 103.65 121.88
Fractional coordinates of all 8 atoms:
Li  0.122  0.625  0.997
Li  0.375  0.372  0.497
Li  0.628  0.125  0.003
Li  0.875  0.878  0.503
Ni  0.250  0.750  0.500
Ni  0.500  0.500  0.000
Br  0.000  0.000  0.000
Br  0.750  0.250  0.500

calculated density = 3.760 g cm⁻³
distance to the lowest polymorph of the same formula = 205 meV/atom
volume = 134.7 Å³/cell
energy relative to the elements, uncorrected = -99 meV per atom
space group = No. 122
N(E_F) = 0.609 states/eV per atom



(9)
Computed, not measured: crystalline Li2NiBr at its relaxed geometry at the PBE level of DFT.

a b c (Å): 4.432 4.432 4.432
angles (deg): 60.00 60.00 60.00
Fractional coordinates of all 4 atoms:
Li  0.000  0.000  0.000
Li  0.250  0.250  0.250
Ni  0.750  0.750  0.750
Br  0.500  0.500  0.500

calculated density = 4.114 g cm⁻³
distance to the lowest polymorph of the same formula = 276 meV/atom
volume = 61.6 Å³/cell
energy relative to the elements, uncorrected = -28 meV per atom
space group = No. 216
N(E_F) = 0.323 states/eV per atom



(10)
Computed, not measured: crystalline LiNiBr2 at its relaxed geometry at the PBE level of DFT.

a b c (Å): 7.069 7.069 7.069
angles (deg): 132.26 132.26 69.82
Fractional coordinates of all 8 atoms:
Li  0.000  0.000  0.000
Li  0.750  0.250  0.500
Ni  0.250  0.750  0.500
Ni  0.500  0.500  0.000
Br  0.143  0.625  0.018
Br  0.375  0.393  0.518
Br  0.607  0.125  0.982
Br  0.875  0.857  0.482

calculated density = 3.946 g cm⁻³
distance to the lowest polymorph of the same formula = 0 meV/atom
volume = 189.8 Å³/cell
energy relative to the elements, uncorrected = -669 meV per atom
space group = No. 122
N(E_F) = 1.087 states/eV per atom



(11)
Computed, not measured: crystalline Li2NiBr at its relaxed geometry at the PBE level of DFT.

a b c (Å): 4.643 4.643 4.643
angles (deg): 125.30 125.30 81.04
Fractional coordinates of all 4 atoms:
Li  0.250  0.750  0.500
Li  0.750  0.250  0.500
Ni  0.000  0.000  0.000
Br  0.500  0.500  0.000

calculated density = 3.942 g cm⁻³
distance to the lowest polymorph of the same formula = 253 meV/atom
volume = 64.2 Å³/cell
energy relative to the elements, uncorrected = -51 meV per atom
space group = No. 139
N(E_F) = 0.587 states/eV per atom



(12)
Computed, not measured: crystalline Li2NiBr6 at its relaxed geometry at the PBE level of DFT.

a b c (Å): 6.599 6.718 12.445
angles (deg): 90.00 121.93 90.00
Fractional coordinates of all 18 atoms:
Li  0.176  0.005  0.180
Li  0.176  0.495  0.680
Li  0.824  0.505  0.320
Li  0.824  0.995  0.820
Ni  0.500  0.000  0.000
Ni  0.500  0.500  0.500
Br  0.182  0.231  0.863
Br  0.182  0.269  0.363
Br  0.209  0.714  0.500
Br  0.209  0.786  0.000
Br  0.452  0.667  0.315
Br  0.452  0.833  0.815
Br  0.548  0.167  0.185
Br  0.548  0.333  0.685
Br  0.791  0.214  0.000
Br  0.791  0.286  0.500
Br  0.818  0.731  0.637
Br  0.818  0.769  0.137

calculated density = 3.915 g cm⁻³
volume = 468.2 Å³/cell
energy relative to the elements, uncorrected = -738 meV per atom
space group = No. 14